{"formula": "K2YSe", "functional": "GGA-PBE", "state": "optimized geometry", "total_magnetization_mub_per_atom": 0.57, "total_energy_ev_per_atom": -2.958, "sg": "F-43m (216)", "formation_energy_uncorrected_mev_per_atom": 77, "lattice": [[-4.178, 2.762, 2.908], [-4.871, -2.792, 1.421], [-1.055, -1.350, 5.532]], "species": ["K", "K", "Se", "Y"], "frac_coords": [[0.000, 0.000, 0.000], [0.250, 0.250, 0.250], [0.500, 0.500, 0.500], [0.750, 0.750, 0.750]]}